First-principles (meta-GGA SCAN) data for YCo2Ru at its PBEsol-relaxed geometry, as listed in the Alexandria database.

Structure (extended XYZ):
```
4
Lattice="1.3770 0.7950 8.7407 -1.3770 0.7950 8.7407 0.0000 -1.5900 8.7407" Properties=species:S:1:pos:R:3 pbc="T T T"
Y 0.0000 0.0000 0.0000
Co 0.0000 0.0000 6.3095
Co 0.0000 0.0000 19.9125
Ru 0.0000 0.0000 13.1110
```

First-principles (meta-GGA SCAN) data for Zn2CoRu at its PBEsol-relaxed geometry, as listed in the Alexandria database.

Structure (extended XYZ):
```
4
Lattice="2.6225 0.0000 0.0000 0.0000 2.6225 0.0000 0.0000 0.0000 7.3150" Properties=species:S:1:pos:R:3 pbc="T T T"
Zn 0.0000 0.0000 0.0000
Zn 1.3113 1.3113 2.0319
Co 0.0000 0.0000 3.7703
Ru 1.3113 1.3113 5.3707
```

First-principles (meta-GGA SCAN) data for Zn2CoRu at its PBEsol-relaxed geometry, as listed in the Alexandria database.

Structure (extended XYZ):
```
4
Lattice="4.2363 -1.2977 0.0000 4.2363 1.2977 0.0000 -0.8284 0.0000 4.5072" Properties=species:S:1:pos:R:3 pbc="T T T"
Zn 1.8784 0.0000 1.0838
Zn 5.7657 0.0000 3.4234
Co 4.2363 0.0000 0.0000
Ru -0.4142 0.0000 2.2536
```

First-principles (meta-GGA SCAN) data for Zn2CoRu at its PBEsol-relaxed geometry, as listed in the Alexandria database.

Structure (extended XYZ):
```
4
Lattice="1.3148 0.7591 8.4623 -1.3148 0.7591 8.4623 0.0000 -1.5182 8.4623" Properties=species:S:1:pos:R:3 pbc="T T T"
Zn 0.0000 0.0000 0.0000
Zn 0.0000 0.0000 6.1693
Co 0.0000 0.0000 18.9477
Ru 0.0000 0.0000 12.4175
```

First-principles (meta-GGA SCAN) data for Zr2Co2Ru at its PBEsol-relaxed geometry, as listed in the Alexandria database.

Structure (extended XYZ):
```
5
Lattice="-1.5902 1.5902 7.7980 1.5902 -1.5902 7.7980 1.5902 1.5902 -7.7980" Properties=species:S:1:pos:R:3 pbc="T T T"
Zr 0.0000 0.0000 1.6628
Zr 0.0000 0.0000 13.9332
Co 1.5902 0.0000 3.8990
Co 0.0000 1.5902 3.8990
Ru 0.0000 0.0000 7.7980
```

First-principles (meta-GGA SCAN) data for ZrCo2Ru at its PBEsol-relaxed geometry, as listed in the Alexandria database.

Structure (extended XYZ):
```
4
Lattice="-1.8957 1.8957 3.6709 1.8957 -1.8957 3.6709 1.8957 1.8957 -3.6709" Properties=species:S:1:pos:R:3 pbc="T T T"
Zr 0.0000 0.0000 0.0000
Co 1.8957 0.0000 1.8354
Co 0.0000 1.8957 1.8354
Ru 0.0000 0.0000 3.6709
```

First-principles (meta-GGA SCAN) data for ZrCo4Ru at its PBEsol-relaxed geometry, as listed in the Alexandria database.

Structure (extended XYZ):
```
6
Lattice="0.0000 3.3396 3.3396 3.3396 0.0000 3.3396 3.3396 3.3396 0.0000" Properties=species:S:1:pos:R:3 pbc="T T T"
Zr 0.0000 0.0000 0.0000
Co 4.1720 2.5073 2.5073
Co 2.5073 4.1720 2.5073
Co 2.5073 2.5073 4.1720
Co 4.1720 4.1720 4.1720
Ru 1.6698 1.6698 1.6698
```

First-principles (meta-GGA SCAN) data for Zr2CoRu at its PBEsol-relaxed geometry, as listed in the Alexandria database.

Structure (extended XYZ):
```
4
Lattice="4.5096 0.0000 0.0000 0.0000 4.5096 0.0000 0.0000 0.0000 3.1900" Properties=species:S:1:pos:R:3 pbc="T T T"
Zr 0.0000 2.2548 0.0000
Zr 2.2548 0.0000 0.0000
Co 0.0000 0.0000 1.5950
Ru 2.2548 2.2548 1.5950
```

no.,E_tot (eV/atom),Fermi-level density of states (states/eV per atom)
1,-23.654,0.813
2,-19.715,0.573
3,-19.723,0.510
4,-19.696,0.521
5,-26.300,0.643
6,-25.001,1.096
7,-22.600,0.944
8,-28.966,0.453